DFT (PBE-GGA) results for Be2HgO after structural relaxation.

Cell lengths 5.121, 5.121, 5.080 Å; angles 59.73, 59.73, 90.00 degrees
Positions (direct):
Be: 0.262 0.625 0.250
O: 0.250 0.750 0.500
Hg: 0.000 0.000 0.000
Hg: 0.750 0.250 0.500
Be: 0.488 0.125 0.250
Be: 0.875 0.738 0.750
Be: 0.375 0.512 0.750
O: 0.500 0.500 0.000

## Properties
The value obtained for the energy above the lowest structure with this stoichiometry is 0 meV per atom. Its total magnetization is 0.00 μB/f.u. The space group is I-42d, No. 122. The formation energy (no corrections) is -3.61 eV per formula unit.